Computed, not measured: a geometry-optimized SiPN2 structure at the PBE-GGA level of DFT.

abc: 3.684 2.883 11.230
angles: 90.00 90.00 90.00
Sites, in units of the cell vectors:
P 0.000 0.000 0.057
P 0.000 0.500 0.557
N 0.500 0.500 0.264
N 0.000 0.500 0.988
N 0.000 0.000 0.488
N 0.500 0.000 0.764
Si 0.500 0.500 0.695
Si 0.500 0.000 0.195

Output
**Relative energy among the computed polymorphs**: 317 meV per atom
**Formation energy (no corrections)**: 0.47 kcal/mol of atoms
**Energy**: -54.80 eV per cell